1.
Computed, not measured: an optimized crystal structure of MgTlIBr2 at the PBE level of DFT.

The structure belongs to space group P4/mmm (No. 123); the cell edges are 5.2924, 5.2924 and 5.9324 Å and the angles 90.00°, 90.00° and 90.00°. The inequivalent atoms are Mg at (0.0000, 0.0000, 0.0000), Tl at (0.5000, 0.5000, 0.5000), I at (0.0000, 0.0000, 0.5000) and Br at (0.0000, 0.5000, 0.0000).

The total energy is -14.07 eV per formula unit. Its excess energy over the best structure of this formula in the dataset is 0.000 eV per atom. For the raw formation energy, the calculation gives -1.0422 eV per atom. As for the density of states at the Fermi level: 0.0 states/eV/cell.



2.
Computed, not measured: an optimized crystal structure of MgTl2IBr at the PBE level of DFT.

The structure belongs to space group P4/mmm (No. 123); the cell edges are 6.4480, 6.4480 and 6.7157 Å and the angles 90.00°, 90.00° and 90.00°. The inequivalent atoms are Mg at (0.0000, 0.0000, 0.0000), Tl at (0.0000, 0.5000, 0.5000), I at (0.5000, 0.5000, 0.5000) and Br at (0.5000, 0.5000, 0.0000).

The total energy is -8.89 eV per formula unit. Its excess energy over the best structure of this formula in the dataset is 0.135 eV per atom. For the raw formation energy, the calculation gives 0.1325 eV per atom. As for the density of states at the Fermi level: 2.6 states/eV/cell.



Please write out number 2 again, unchanged.
Computed, not measured: an optimized crystal structure of MgTl2IBr at the PBE level of DFT.

The structure belongs to space group P4/mmm (No. 123); the cell edges are 6.4480, 6.4480 and 6.7157 Å and the angles 90.00°, 90.00° and 90.00°. The inequivalent atoms are Mg at (0.0000, 0.0000, 0.0000), Tl at (0.0000, 0.5000, 0.5000), I at (0.5000, 0.5000, 0.5000) and Br at (0.5000, 0.5000, 0.0000).

The total energy is -8.89 eV per formula unit. Its excess energy over the best structure of this formula in the dataset is 0.135 eV per atom. For the raw formation energy, the calculation gives 0.1325 eV per atom. As for the density of states at the Fermi level: 2.6 states/eV/cell.